1.
A PBEsol-optimized structure of Zr3TaZn. Source: the Alexandria database, functional SCAN.

For the calculated total energy, the calculation gives -167.396 eV per cell. As for the calculated formation energy: 4.80 eV per formula unit. The density of states at the Fermi level is 6.50 states/eV/cell.

It has space group Pm-3m (No. 221), with a = 5.0276 Å, b = 5.0276 Å, c = 5.0276 Å, α = 90.00°, β = 90.00° and γ = 90.00°. The inequivalent atoms are Zr at (0.0000, 0.0000, 0.5000), Ta at (0.0000, 0.0000, 0.0000) and Zn at (0.5000, 0.5000, 0.5000).

---

2.
A PBEsol-optimized structure of ZrTa2Zn. Source: the Alexandria database, functional SCAN.

For the calculated total energy, the calculation gives -354.594 eV per cell. As for the calculated formation energy: 0.08 eV per formula unit. The density of states at the Fermi level is 8.73 states/eV/cell.

It has space group Cmm2 (No. 35), with a = 3.4804 Å, b = 4.4289 Å, c = 9.1698 Å, α = 90.00°, β = 90.00° and γ = 90.00°. The inequivalent atoms are Zr at (0.0000, 0.0000, 0.0000), Ta at (0.0000, 0.0000, 0.5136), Ta at (0.0000, 0.5000, 0.2671) and Zn at (0.0000, 0.5000, 0.7472).

---

3.
A PBEsol-optimized structure of ZrTaZn. Source: the Alexandria database, functional SCAN.

For the calculated total energy, the calculation gives -110.301 eV per cell. As for the calculated formation energy: 0.50 eV per formula unit. The density of states at the Fermi level is 3.02 states/eV/cell.

It has space group P3m1 (No. 156), with a = 4.8316 Å, b = 4.8316 Å, c = 2.6495 Å, α = 90.00°, β = 90.00° and γ = 120.00°. The inequivalent atoms are Zr at (0.0000, 0.0000, 0.0000), Ta at (0.3333, 0.6667, 0.5728) and Zn at (0.6667, 0.3333, 0.3602).

---

4.
A PBEsol-optimized structure of ZrTaZn. Source: the Alexandria database, functional SCAN.

For the calculated total energy, the calculation gives -429.339 eV per cell. As for the calculated formation energy: 3.46 eV per formula unit. The density of states at the Fermi level is 7.97 states/eV/cell.

It has space group F-43m (No. 216), with a = 6.4223 Å, b = 6.4223 Å, c = 6.4223 Å, α = 90.00°, β = 90.00° and γ = 90.00°. The inequivalent atoms are Zr at (0.0000, 0.0000, 0.0000), Ta at (0.2500, 0.2500, 0.2500) and Zn at (0.2500, 0.2500, 0.7500).